# BaUTe6 PBE optimized geometry
# Calculated total energy in eV per atom: -4.7297
data_BaUTe6
_chemical_formula_sum 'Ba4 U4 Te24'
_space_group_name_H-M_alt 'P 1 21/c 1'
_space_group_IT_number 14
_cell_length_a 9.062
_cell_length_b 15.351
_cell_length_c 8.137
_cell_angle_alpha 90.00
_cell_angle_beta 91.66
_cell_angle_gamma 90.00
loop_
_space_group_symop_operation_xyz
'x,y,z'
'-x,-y,-z'
'-x,y+1/2,-z+1/2'
'x,-y+1/2,z+1/2'
loop_
_atom_site_label
_atom_site_type_symbol
_atom_site_fract_x
_atom_site_fract_y
_atom_site_fract_z
Ba1 Ba 0.237 0.091 0.268
U1 U 0.273 0.749 0.609
Te1 Te 0.006 0.738 0.852
Te2 Te 0.027 0.601 0.608
Te3 Te 0.175 0.553 0.111
Te4 Te 0.391 0.608 0.363
Te5 Te 0.393 0.195 0.878
Te6 Te 0.416 0.616 0.868

---

# BaTeW PBE optimized geometry
# E above lowest polymorph in eV/atom: 0.415
data_BaTeW
_chemical_formula_sum 'Ba4 Te4 W4'
_space_group_name_H-M_alt 'F -4 3 m'
_space_group_IT_number 216
_space_group_name_Hall 'F -4 2 3'
_cell_length_a 7.943
_cell_length_b 7.943
_cell_length_c 7.943
_cell_angle_alpha 90.00
_cell_angle_beta 90.00
_cell_angle_gamma 90.00
loop_
_atom_site_label
_atom_site_type_symbol
_atom_site_fract_x
_atom_site_fract_y
_atom_site_fract_z
Ba1 Ba 0.000 0.000 0.000
Te1 Te 0.250 0.250 0.750
W1 W 0.250 0.250 0.250